The following is a PBE-GGA calculation of a relaxed Na2TiSeO6 crystal, from Alexandria.

It has space group P4mm (No. 99), with a = 5.1034 Å, b = 5.1034 Å, c = 4.8262 Å, α = 90.00°, β = 90.00° and γ = 90.00°. The inequivalent atoms are Na at (0.0000, 0.5000, 0.0000), Ti at (0.0000, 0.0000, 0.5318), Se at (0.5000, 0.5000, 0.5448), O at (0.0000, 0.0000, 0.1783), O at (0.2630, 0.2630, 0.6498) and O at (0.5000, 0.5000, 0.1979).

The electronic total energy is -6.039 eV/atom.